Entry 1:
# HfNiH3

A relaxed HfNiH3 crystal (PBE, Alexandria via LeMat-Bulk).

Cell lengths 3.246, 3.283, 8.362 Å; angles 101.32, 101.20, 90.00 degrees
Element x y z (fractional)
Hf: 0.167 0.417 0.834
Hf: 0.833 0.583 0.166
Ni: 0.435 0.185 0.370
Ni: 0.565 0.815 0.630
H: 0.670 0.920 0.840
H: 0.330 0.080 0.160
H: 0.451 0.701 0.402
H: 0.549 0.299 0.598
H: 0.074 0.824 0.649
H: 0.926 0.176 0.351

Properties
calculated density: 9.316 g cm⁻³
spin magnetization: 0.000 μB/cell
crystal system: orthorhombic
D(E_F): 2.72 states/eV/cell
calculated total energy: -26.40 eV per formula unit

---

Entry 2:
# PbIBr2

A relaxed PbIBr2 crystal (PBE, Alexandria via LeMat-Bulk).

Cell lengths 10.156, 10.156, 7.880 Å; angles 49.88, 49.88, 90.00 degrees
Each line ends with the local moment (μB).
Element x y z (fractional)
Pb: 0.000 0.000 0.000  0.02
Pb: 0.750 0.250 0.500  0.02
I: 0.500 0.500 0.000  0.34
I: 0.250 0.750 0.500  0.34
Br: 0.739 0.125 0.250  0.18
Br: 0.011 0.625 0.250  0.17
Br: 0.375 0.261 0.750  0.17
Br: 0.875 0.989 0.750  0.16

Properties
calculated density: 4.901 g cm⁻³
spin magnetization: 1.986 μB/cell
crystal system: tetragonal
D(E_F): 9.39 states/eV/cell
calculated total energy: -10.14 eV per formula unit
polymorph energy (0 for the lowest one): 284 meV/atom

---

Entry 3:
# Ba2RhNF

A relaxed Ba2RhNF crystal (PBE, Alexandria via LeMat-Bulk).

Cell lengths 5.637, 5.637, 3.803 Å; angles 90.00, 90.00, 90.00 degrees
Element x y z (fractional)
N: 0.000 0.000 0.000
Rh: 0.000 0.000 0.500
Ba: 0.000 0.500 0.000
Ba: 0.500 0.000 0.000
F: 0.500 0.500 0.500

Properties
calculated density: 5.642 g cm⁻³
spin magnetization: 0.000 μB/cell
crystal system: tetragonal
D(E_F): 1.90 states/eV/cell
calculated total energy: -27.70 eV per formula unit

---

Entry 4:
# NbOsCl2

A relaxed NbOsCl2 crystal (PBE, Alexandria via LeMat-Bulk).

Cell lengths 4.437, 4.437, 4.437 Å; angles 60.00, 60.00, 60.00 degrees
Element x y z (fractional)
Nb: 0.000 0.000 0.000
Os: 0.500 0.500 0.500
Cl: 0.250 0.250 0.250
Cl: 0.750 0.750 0.750

Properties
calculated density: 9.521 g cm⁻³
spin magnetization: 0.000 μB/cell
crystal system: cubic
D(E_F): 5.71 states/eV/cell
calculated total energy: -21.03 eV per formula unit
polymorph energy (0 for the lowest one): 777 meV/atom

---

Entry 5:
# Nd8Ga3Co

A relaxed Nd8Ga3Co crystal (PBE, Alexandria via LeMat-Bulk).

Cell lengths 10.445, 10.445, 7.067 Å; angles 90.00, 90.00, 120.00 degrees
Element x y z (fractional)
Nd: 0.829 0.659 0.490
Nd: 0.341 0.171 0.490
Nd: 0.829 0.171 0.490
Nd: 0.171 0.341 0.990
Nd: 0.659 0.829 0.990
Nd: 0.171 0.829 0.990
Nd: 0.667 0.333 0.177
Nd: 0.333 0.667 0.677
Nd: 0.538 0.077 0.792
Nd: 0.923 0.462 0.792
Nd: 0.538 0.462 0.792
Nd: 0.462 0.923 0.292
Nd: 0.077 0.538 0.292
Nd: 0.462 0.538 0.292
Nd: 0.000 0.000 0.772
Nd: 0.000 0.000 0.272
Ga: 0.836 0.672 0.038
Ga: 0.328 0.164 0.038
Ga: 0.836 0.164 0.038
Ga: 0.164 0.328 0.538
Ga: 0.672 0.836 0.538
Ga: 0.164 0.836 0.538
Co: 0.667 0.333 0.556
Co: 0.333 0.667 0.056

Properties
calculated density: 7.073 g cm⁻³
spin magnetization: 0.000 μB/cell
crystal system: hexagonal
D(E_F): 12.70 states/eV/cell
calculated total energy: -58.29 eV per formula unit
ΔH_f (0 K): -0.330 eV per atom

---

Entry 6:
# PrNd2Cu2Sn2

A relaxed PrNd2Cu2Sn2 crystal (PBE, Alexandria via LeMat-Bulk).

Cell lengths 4.627, 4.627, 10.043 Å; angles 76.68, 76.68, 60.00 degrees
Element x y z (fractional)
Pr: 0.000 0.000 0.000
Nd: 0.129 0.129 0.612
Nd: 0.871 0.871 0.388
Cu: 0.592 0.592 0.224
Cu: 0.408 0.408 0.776
Sn: 0.736 0.736 0.793
Sn: 0.264 0.264 0.207

Properties
calculated density: 7.344 g cm⁻³
spin magnetization: 0.000 μB/cell
crystal system: trigonal
D(E_F): 3.13 states/eV/cell
calculated total energy: -33.42 eV per formula unit
ΔH_f (0 K): -0.415 eV per atom

---

Entry 7:
# CsTiB

A relaxed CsTiB crystal (PBE, Alexandria via LeMat-Bulk).

Cell lengths 19.899, 5.445, 3.362 Å; angles 90.00, 90.00, 90.00 degrees
Element x y z (fractional)
Cs: 0.647 0.250 0.997
Cs: 0.853 0.750 0.497
Cs: 0.353 0.750 0.003
Cs: 0.147 0.250 0.503
B: 0.000 0.000 0.000
B: 0.500 0.500 0.500
B: 0.500 0.000 0.500
B: 0.000 0.500 0.000
Ti: 0.469 0.250 0.000
Ti: 0.031 0.750 0.500
Ti: 0.531 0.750 0.000
Ti: 0.969 0.250 0.500

Properties
calculated density: 3.493 g cm⁻³
spin magnetization: 0.000 μB/cell
crystal system: orthorhombic
D(E_F): 7.53 states/eV/cell
calculated total energy: -13.94 eV per formula unit
polymorph energy (0 for the lowest one): 109 meV/atom
ΔH_f (0 K): 0.494 eV per atom

---

Entry 8:
# CaTb2Tm

A relaxed CaTb2Tm crystal (PBE, Alexandria via LeMat-Bulk).

Cell lengths 3.581, 3.581, 12.184 Å; angles 81.55, 81.55, 60.00 degrees
Element x y z (fractional)
Ca: 0.500 0.500 0.499
Tb: 0.078 0.078 0.767
Tb: 0.256 0.256 0.233
Tm: 0.666 0.666 0.001

Properties
calculated density: 6.560 g cm⁻³
spin magnetization: 0.001 μB/cell
crystal system: trigonal
D(E_F): 5.20 states/eV/cell
calculated total energy: -15.49 eV per formula unit
polymorph energy (0 for the lowest one): 0 meV/atom
ΔH_f (0 K): 0.061 eV per atom

---

Entry 9:
# Hf7Hg2N2

A relaxed Hf7Hg2N2 crystal (PBE, Alexandria via LeMat-Bulk).

Cell lengths 6.184, 5.964, 6.184 Å; angles 83.59, 111.94, 96.41 degrees
Element x y z (fractional)
Hf: 0.934 0.225 0.504
Hf: 0.504 0.775 0.934
Hf: 0.066 0.775 0.496
Hf: 0.496 0.225 0.066
Hf: 0.000 0.000 0.000
Hf: 0.564 0.807 0.436
Hf: 0.436 0.193 0.564
Hg: 0.807 0.500 0.807
Hg: 0.193 0.500 0.193
N: 0.776 0.971 0.224
N: 0.224 0.029 0.776

Properties
calculated density: 13.296 g cm⁻³
spin magnetization: 0.000 μB/cell
crystal system: monoclinic
D(E_F): 5.92 states/eV/cell
calculated total energy: -91.68 eV per formula unit

---

Entry 10:
# SrAl3Cr

A relaxed SrAl3Cr crystal (PBE, Alexandria via LeMat-Bulk).

Cell lengths 5.642, 5.642, 5.642 Å; angles 90.00, 90.00, 90.00 degrees
Each line ends with the local moment (μB).
Element x y z (fractional)
Sr: 0.000 0.000 0.000  -0.02
Al: 0.000 0.500 0.000  0.01
Al: 0.000 0.000 0.500  0.00
Al: 0.500 0.000 0.000  -0.01
Cr: 0.500 0.500 0.500  0.61

Properties
calculated density: 2.039 g cm⁻³
spin magnetization: 0.718 μB/cell
crystal system: cubic
D(E_F): 9.50 states/eV/cell
calculated total energy: -11.29 eV per formula unit
polymorph energy (0 for the lowest one): 2267 meV/atom
ΔH_f (0 K): 2.249 eV per atom

---

Entry 11:
# MgNiPd2

A relaxed MgNiPd2 crystal (PBE, Alexandria via LeMat-Bulk).

Cell lengths 3.116, 3.116, 6.033 Å; angles 90.00, 90.00, 90.00 degrees
Each line ends with the local moment (μB).
Element x y z (fractional)
Ni: 0.500 0.500 0.000  0.64
Mg: 0.500 0.500 0.500  0.00
Pd: 0.000 0.000 0.764  0.04
Pd: 0.000 0.000 0.236  0.04

Properties
calculated density: 8.386 g cm⁻³
spin magnetization: 0.679 μB/cell
crystal system: tetragonal
D(E_F): 3.76 states/eV/cell
calculated total energy: -19.08 eV per formula unit
ΔH_f (0 K): -0.328 eV per atom

---

Entry 12:
# SrMnCu2

A relaxed SrMnCu2 crystal (PBE, Alexandria via LeMat-Bulk).

Cell lengths 3.345, 3.345, 7.009 Å; angles 90.00, 90.00, 89.99 degrees
Each line ends with the local moment (μB).
Element x y z (fractional)
Cu: 0.000 0.000 0.069  0.04
Cu: 0.500 0.500 0.244  0.11
Mn: 0.000 0.000 0.416  3.87
Sr: 0.500 0.500 0.771  -0.01

Properties
calculated density: 5.709 g cm⁻³
spin magnetization: 4.200 μB/cell
crystal system: tetragonal
D(E_F): 1.79 states/eV/cell
calculated total energy: -17.73 eV per formula unit
ΔH_f (0 K): 0.330 eV per atom

---

Entry 13:
# UMnCr2

A relaxed UMnCr2 crystal (PBE, Alexandria via LeMat-Bulk).

Cell lengths 2.810, 2.810, 7.109 Å; angles 90.00, 90.00, 90.00 degrees
Each line ends with the local moment (μB).
Element x y z (fractional)
Cr: 0.000 0.000 0.801  1.24
Cr: 0.000 0.000 0.199  1.24
Mn: 0.500 0.500 0.000  -1.11
U: 0.500 0.500 0.500  -0.66

Properties
calculated density: 11.742 g cm⁻³
spin magnetization: 0.818 μB/cell
crystal system: tetragonal
D(E_F): 4.85 states/eV/cell
calculated total energy: -39.03 eV per formula unit
ΔH_f (0 K): 0.169 eV per atom

---

Entry 14:
# PtS2ICl

A relaxed PtS2ICl crystal (PBE, Alexandria via LeMat-Bulk).

Cell lengths 4.791, 4.791, 4.850 Å; angles 90.00, 90.00, 90.00 degrees
Element x y z (fractional)
I: 0.500 0.500 0.500
S: 0.000 0.500 0.000
S: 0.500 0.000 0.000
Pt: 0.000 0.000 0.000
Cl: 0.000 0.000 0.500

Properties
calculated density: 6.289 g cm⁻³
spin magnetization: 0.000 μB/cell
crystal system: tetragonal
D(E_F): 4.88 states/eV/cell
calculated total energy: -15.80 eV per formula unit
polymorph energy (0 for the lowest one): 0 meV/atom

---

Entry 15:
# Pm12Ga6Cu

A relaxed Pm12Ga6Cu crystal (PBE, Alexandria via LeMat-Bulk).

Cell lengths 8.634, 8.634, 8.634 Å; angles 100.46, 100.46, 100.46 degrees
Element x y z (fractional)
Pm: 0.820 0.575 0.435
Pm: 0.435 0.820 0.575
Pm: 0.575 0.435 0.820
Pm: 0.180 0.425 0.565
Pm: 0.565 0.180 0.425
Pm: 0.425 0.565 0.180
Pm: 0.066 0.952 0.320
Pm: 0.048 0.680 0.934
Pm: 0.680 0.934 0.048
Pm: 0.934 0.048 0.680
Pm: 0.952 0.320 0.066
Pm: 0.320 0.066 0.952
Ga: 0.697 0.865 0.379
Ga: 0.621 0.303 0.135
Ga: 0.135 0.621 0.303
Ga: 0.303 0.135 0.621
Ga: 0.379 0.697 0.865
Ga: 0.865 0.379 0.697
Cu: 0.000 0.000 0.000

Properties
calculated density: 6.080 g cm⁻³
spin magnetization: 0.002 μB/cell
crystal system: trigonal
D(E_F): 28.92 states/eV/cell
calculated total energy: -82.04 eV per formula unit
ΔH_f (0 K): -0.146 eV per atom

---

Entry 16:
# Pm4Pr3ErS8

A relaxed Pm4Pr3ErS8 crystal (PBE, Alexandria via LeMat-Bulk).

Cell lengths 8.095, 8.078, 8.095 Å; angles 120.06, 120.00, 90.00 degrees
Element x y z (fractional)
Pm: 0.500 0.000 0.000
Pm: 0.500 0.000 0.500
Pm: 0.000 0.000 0.000
Pm: 0.000 0.000 0.500
Pr: 0.500 0.500 0.000
Pr: 0.500 0.500 0.500
Pr: 0.000 0.500 0.500
Er: 0.000 0.500 0.000
S: 0.243 0.748 0.004
S: 0.243 0.748 0.487
S: 0.248 0.243 0.495
S: 0.761 0.748 0.004
S: 0.239 0.252 0.996
S: 0.752 0.757 0.505
S: 0.757 0.252 0.513
S: 0.757 0.252 0.996

Properties
calculated density: 6.335 g cm⁻³
spin magnetization: 0.000 μB/cell
crystal system: trigonal
D(E_F): 8.43 states/eV/cell
calculated total energy: -103.06 eV per formula unit

---

Entry 17:
# CaMo2Ir2

A relaxed CaMo2Ir2 crystal (PBE, Alexandria via LeMat-Bulk).

Cell lengths 7.916, 7.916, 2.784 Å; angles 90.00, 90.00, 90.00 degrees
Element x y z (fractional)
Mo: 0.382 0.882 0.000
Mo: 0.882 0.618 0.000
Mo: 0.618 0.118 0.000
Mo: 0.118 0.382 0.000
Ir: 0.171 0.671 0.500
Ir: 0.671 0.829 0.500
Ir: 0.829 0.329 0.500
Ir: 0.329 0.171 0.500
Ca: 0.000 0.000 0.000
Ca: 0.500 0.500 0.000

Properties
calculated density: 11.732 g cm⁻³
spin magnetization: 0.000 μB/cell
crystal system: tetragonal
D(E_F): 7.61 states/eV/cell
calculated total energy: -42.01 eV per formula unit
polymorph energy (0 for the lowest one): 0 meV/atom
ΔH_f (0 K): -0.125 eV per atom

---

Entry 18:
# BaB3N

A relaxed BaB3N crystal (PBE, Alexandria via LeMat-Bulk).

Cell lengths 5.439, 5.439, 5.439 Å; angles 90.00, 90.00, 90.00 degrees
Each line ends with the local moment (μB).
Element x y z (fractional)
B: 0.000 0.500 0.000  -0.16
B: 0.000 0.000 0.500  -0.15
B: 0.500 0.000 0.000  -0.26
Ba: 0.000 0.000 0.000  -0.13
N: 0.500 0.500 0.500  1.74

Properties
calculated density: 1.897 g cm⁻³
spin magnetization: 0.880 μB/cell
crystal system: cubic
D(E_F): 6.60 states/eV/cell
calculated total energy: -11.23 eV per formula unit
polymorph energy (0 for the lowest one): 1642 meV/atom

---

Entry 19:
# MgGe2BO6

A relaxed MgGe2BO6 crystal (PBE, Alexandria via LeMat-Bulk).

Cell lengths 5.218, 6.981, 6.981 Å; angles 74.28, 72.66, 72.66 degrees
Each line ends with the local moment (μB).
Element x y z (fractional)
Mg: 0.250 0.871 0.129  0.00
Mg: 0.750 0.129 0.871  0.00
Ge: 0.354 0.830 0.610  -0.10
Ge: 0.146 0.390 0.170  -0.10
Ge: 0.646 0.170 0.390  -0.10
Ge: 0.854 0.610 0.830  -0.10
B: 0.250 0.198 0.802  0.01
B: 0.750 0.802 0.198  0.01
O: 0.184 0.998 0.814  -0.06
O: 0.316 0.186 0.002  -0.06
O: 0.816 0.002 0.186  -0.06
O: 0.684 0.814 0.998  -0.06
O: 0.489 0.780 0.346  -0.10
O: 0.011 0.654 0.220  -0.10
O: 0.511 0.220 0.654  -0.10
O: 0.989 0.346 0.780  -0.10
O: 0.033 0.773 0.624  -0.03
O: 0.467 0.376 0.227  -0.03
O: 0.967 0.227 0.376  -0.03
O: 0.533 0.624 0.773  -0.03

Properties
calculated density: 4.043 g cm⁻³
spin magnetization: 1.581 μB/cell
crystal system: monoclinic
D(E_F): 4.51 states/eV/cell
calculated total energy: -65.69 eV per formula unit

---

Entry 20:
# Sc3Cu2Ag

A relaxed Sc3Cu2Ag crystal (PBE, Alexandria via LeMat-Bulk).

Cell lengths 3.292, 3.292, 10.134 Å; angles 90.00, 90.00, 90.00 degrees
Element x y z (fractional)
Sc: 0.000 0.000 0.000
Sc: 0.000 0.000 0.681
Sc: 0.000 0.000 0.319
Cu: 0.500 0.500 0.840
Cu: 0.500 0.500 0.160
Ag: 0.500 0.500 0.500

Properties
calculated density: 5.592 g cm⁻³
spin magnetization: 0.000 μB/cell
crystal system: tetragonal
D(E_F): 3.06 states/eV/cell
calculated total energy: -31.70 eV per formula unit
ΔH_f (0 K): -0.277 eV per atom